Record 1
First-principles (PBE) data for a relaxed structure of AlTcNi, as listed in Alexandria.

Lattice parameters (Å, degrees): 2.6744 2.6744 10.9879 90.00 90.00 90.00
Space group I4mm (No. 107)
Symmetry-distinct sites (fractional):
Al 0.0000 0.0000 0.0000
Tc 0.0000 0.0000 0.3193
Ni 0.0000 0.0000 0.6551

- energy of formation from the pure elements (eV/f.u.) = -0.80
- E above lowest polymorph (kJ per mole of atoms) = 0.00
- total magnetic moment (μB/atom) = 0.00

***

Record 2
First-principles (PBE) data for a relaxed structure of Al4TcNi, as listed in Alexandria.

Lattice parameters (Å, degrees): 7.0215 7.0215 7.0215 90.00 90.00 90.00
Space group F-43m (No. 216)
Symmetry-distinct sites (fractional):
Al 0.1249 0.1249 0.1249
Tc 0.0000 0.0000 0.5000
Ni 0.2500 0.2500 0.7500

- energy of formation from the pure elements (eV/f.u.) = 0.47
- E above lowest polymorph (kJ per mole of atoms) = 27.82
- total magnetic moment (μB/atom) = 0.06